[1]
The following is a PBE calculation of Sm5Tl2Ni after structural relaxation, from Alexandria via LeMat-Bulk.

Calculated values
Raw total energy: -4.543 eV/atom
DOS(E_F): 1.09 states/eV/atom

Unit cell a=7.6114 b=12.5029 c=4.8361 alpha=90.00 beta=90.00 gamma=90.00
Fractional coordinates of all 16 atoms:
1 Sm 0.0000 0.0000 0.0000
2 Sm 0.1258 0.2946 0.0000
3 Sm 0.1788 0.5750 0.5000
4 Sm 0.3212 0.0750 0.5000
5 Sm 0.3742 0.7946 0.0000
6 Sm 0.5000 0.5000 0.0000
7 Sm 0.6258 0.2054 0.0000
8 Sm 0.6788 0.9250 0.5000
9 Sm 0.8212 0.4250 0.5000
10 Sm 0.8742 0.7054 0.0000
11 Tl 0.0924 0.8350 0.5000
12 Tl 0.4076 0.3350 0.5000
13 Tl 0.5924 0.6650 0.5000
14 Tl 0.9076 0.1650 0.5000
15 Ni 0.0000 0.5000 0.0000
16 Ni 0.5000 0.0000 0.0000

=====

[2]
The following is a PBE calculation of Sm6Tl3Ni after structural relaxation, from Alexandria via LeMat-Bulk.

Calculated values
Raw total energy: -4.356 eV/atom
DOS(E_F): 0.98 states/eV/atom

Unit cell a=9.2697 b=11.6153 c=5.3701 alpha=90.00 beta=90.00 gamma=90.00
Fractional coordinates of all 20 atoms:
1 Sm 0.0085 0.2307 0.0000
2 Sm 0.1560 0.0774 0.5000
3 Sm 0.1825 0.4223 0.5000
4 Sm 0.3175 0.9223 0.0000
5 Sm 0.3440 0.5774 0.0000
6 Sm 0.4915 0.7307 0.5000
7 Sm 0.5085 0.2693 0.5000
8 Sm 0.6560 0.4226 0.0000
9 Sm 0.6825 0.0777 0.0000
10 Sm 0.8175 0.5777 0.5000
11 Sm 0.8440 0.9226 0.5000
12 Sm 0.9915 0.7693 0.0000
13 Tl 0.0000 0.5000 0.0000
14 Tl 0.1582 0.7436 0.5000
15 Tl 0.3418 0.2436 0.0000
16 Tl 0.5000 0.0000 0.5000
17 Tl 0.6582 0.7564 0.0000
18 Tl 0.8418 0.2564 0.5000
19 Ni 0.0000 0.0000 0.0000
20 Ni 0.5000 0.5000 0.5000

=====

[3]
The following is a PBE calculation of Sm8Tl2Ni after structural relaxation, from Alexandria via LeMat-Bulk.

Calculated values
DOS(E_F): 1.06 states/eV/atom
Energy above the most stable polymorph in this dataset: 0.0 meV/atom

Unit cell a=9.2985 b=9.2985 c=5.8243 alpha=108.09 beta=108.09 gamma=122.02
Fractional coordinates of all 11 atoms:
1 Sm 0.0000 0.0000 0.0000
2 Sm 0.0572 0.2851 0.6006
3 Sm 0.0996 0.6972 0.7840
4 Sm 0.2851 0.0572 0.6006
5 Sm 0.5121 0.5121 0.3569
6 Sm 0.5571 0.7836 0.0195
7 Sm 0.6972 0.0996 0.7840
8 Sm 0.7836 0.5571 0.0195
9 Tl 0.1962 0.5927 0.2888
10 Tl 0.5927 0.1962 0.2888
11 Ni 0.8928 0.8928 0.4570